P:
Material: ZnBiAs2Br
Method: DFT, PBE
State: optimized geometry

```
5
Lattice="4.961 0.000 0.000 0.000 4.961 0.000 0.000 0.000 5.047" Properties=species:S:1:pos:R:3 pbc="T T T"
Zn 0.000 0.000 0.000
As 0.000 2.481 0.000
As 2.481 0.000 0.000
Bi 2.481 2.481 2.524
Br 0.000 0.000 2.524
```

Properties
Total magnetization ... 0.000 μB per atom
Space group ... No. 123


Q:
Material: ZnBiAs2Br
Method: DFT, PBE
State: optimized geometry

```
5
Lattice="-3.336 -0.627 -4.443 -4.432 -0.401 3.385 -0.725 5.753 -0.268" Properties=species:S:1:pos:R:3 pbc="T T T"
Zn -4.247 2.363 -0.663
As -2.216 -0.200 1.692
As -1.668 -0.313 -2.222
Bi 0.000 0.000 0.000
Br -0.362 2.877 -0.134
```

Properties
Total magnetization ... 0.432 μB per atom
Space group ... No. 123


Most favorable structure: P. The second most favorable one is 368 meV per atom above it.


P:
Material: ZrBiAsBr2
Method: DFT, PBE
State: optimized geometry

```
5
Lattice="-2.552 4.119 2.780 -4.685 -0.952 -2.891 -1.659 -3.655 3.893" Properties=species:S:1:pos:R:3 pbc="T T T"
As -0.829 -1.828 1.947
Br -2.343 -0.476 -1.445
Br -1.276 2.060 1.390
Bi 0.000 0.000 0.000
Zr -4.448 -0.244 1.891
```

Properties
Total magnetization ... 0.442 μB per atom
Space group ... No. 123


Q:
Material: ZrBiAsBr2
Method: DFT, PBE
State: optimized geometry

```
5
Lattice="-4.529 1.615 -1.994 -2.561 -3.097 3.309 -0.171 4.128 3.731" Properties=species:S:1:pos:R:3 pbc="T T T"
As -0.085 2.064 1.866
Br -1.281 -1.548 1.654
Br -2.265 0.808 -0.997
Bi -3.631 1.323 2.523
Zr 0.000 0.000 0.000
```

Properties
Total magnetization ... 0.277 μB per atom
Space group ... No. 123


Most favorable structure: Q. The second most favorable one is 852 meV per atom above it.


P:
Material: ZrBiAs2Br
Method: DFT, PBE
State: optimized geometry

```
5
Lattice="5.408 0.000 0.000 0.000 5.408 0.000 0.000 0.000 5.414" Properties=species:S:1:pos:R:3 pbc="T T T"
As 0.000 2.704 0.000
As 2.704 0.000 0.000
Br 0.000 0.000 2.707
Bi 0.000 0.000 0.000
Zr 2.704 2.704 2.707
```

Properties
Total magnetization ... 0.223 μB per atom
Space group ... No. 123


Q:
Material: ZrBiAs2Br
Method: DFT, PBE
State: optimized geometry

```
5
Lattice="5.321 0.000 0.000 0.000 5.321 0.000 0.000 0.000 5.121" Properties=species:S:1:pos:R:3 pbc="T T T"
As 0.000 2.661 0.000
As 2.661 0.000 0.000
Br 0.000 0.000 2.561
Bi 2.661 2.661 2.561
Zr 0.000 0.000 0.000
```

Properties
Total magnetization ... 0.000 μB per atom
Space group ... No. 123


Most favorable structure: Q. The second most favorable one is 882 meV per atom above it.


P:
Material: BiAs2C
Method: DFT, PBE
State: optimized geometry

```
8
Lattice="6.350 0.000 0.000 0.000 6.350 0.000 3.175 3.175 4.094" Properties=species:S:1:pos:R:3 pbc="T T T"
C 3.175 3.175 0.000
C 3.175 6.350 2.047
As 4.046 1.587 1.023
As 2.304 4.762 1.023
As 4.762 5.479 3.070
As 7.937 7.221 3.070
Bi 0.000 0.000 0.000
Bi 6.350 3.175 2.047
```

Properties
Total magnetization ... 0.000 μB per atom
Space group ... No. 122


Q:
Material: BiAs2C
Method: DFT, PBE
State: optimized geometry

```
4
Lattice="0.000 3.414 3.414 3.414 0.000 3.414 3.414 3.414 0.000" Properties=species:S:1:pos:R:3 pbc="T T T"
C 0.000 0.000 0.000
As 1.707 1.707 1.707
As 5.121 5.121 5.121
Bi 3.414 3.414 3.414
```

Properties
Total magnetization ... 0.000 μB per atom
Space group ... No. 225


Most favorable structure: P. The second most favorable one is 857 meV per atom above it.


P:
Material: Bi2AsC
Method: DFT, PBE
State: optimized geometry

```
4
Lattice="2.148 0.857 4.403 0.361 4.649 1.728 -2.764 1.433 3.879" Properties=species:S:1:pos:R:3 pbc="T T T"
C 0.000 0.000 0.000
As -0.127 3.469 5.005
Bi -0.064 1.735 2.502
Bi -0.191 5.204 7.507
```

Properties
Total magnetization ... 0.000 μB per atom
Space group ... No. 225


Q:
Material: Bi2AsC
Method: DFT, PBE
State: optimized geometry

```
8
Lattice="-0.190 6.377 1.841 -4.983 1.080 -4.254 -5.723 2.654 2.194" Properties=species:S:1:pos:R:3 pbc="T T T"
C -2.586 3.729 -1.207
C -6.646 3.731 -1.633
As 0.000 0.000 0.000
As -4.249 6.380 1.414
Bi -2.160 4.389 1.053
Bi -4.580 2.531 -1.766
Bi -6.541 4.853 0.477
Bi -8.509 8.448 -0.202
```

Properties
Total magnetization ... 0.000 μB per atom
Space group ... No. 122


Most favorable structure: Q. The second most favorable one is 412 meV per atom above it.


P:
Material: BiAsCSe2
Method: DFT, PBE
State: optimized geometry

```
5
Lattice="4.600 0.000 0.000 0.000 4.600 0.000 0.000 0.000 4.489" Properties=species:S:1:pos:R:3 pbc="T T T"
C 0.000 0.000 0.000
As 0.000 0.000 2.245
Bi 2.300 2.300 2.245
Se 0.000 2.300 0.000
Se 2.300 0.000 0.000
```

Properties
Total magnetization ... 0.000 μB per atom
Space group ... No. 123


Q:
Material: BiAsCSe2
Method: DFT, PBE
State: optimized geometry

```
5
Lattice="5.590 0.000 0.000 0.000 5.590 0.000 0.000 0.000 5.557" Properties=species:S:1:pos:R:3 pbc="T T T"
C 2.795 2.795 2.778
As 0.000 0.000 2.778
Bi 0.000 0.000 0.000
Se 0.000 2.795 0.000
Se 2.795 0.000 0.000
```

Properties
Total magnetization ... 0.487 μB per atom
Space group ... No. 123


Most favorable structure: P. The second most favorable one is 1226 meV per atom above it.


P:
Material: BiAs2CSe
Method: DFT, PBE
State: optimized geometry

```
5
Lattice="-4.075 -3.277 -1.937 2.218 0.261 -5.109 3.048 -4.438 1.096" Properties=species:S:1:pos:R:3 pbc="T T T"
C 0.596 -3.727 -2.975
As 1.109 0.131 -2.554
As -2.037 -1.638 -0.968
Bi 0.000 0.000 0.000
Se 1.524 -2.219 0.548
```

Properties
Total magnetization ... 0.149 μB per atom
Space group ... No. 123


Q:
Material: BiAs2CSe
Method: DFT, PBE
State: optimized geometry

```
5
Lattice="-2.106 3.379 1.959 -2.581 -2.874 2.184 3.208 -0.113 3.643" Properties=species:S:1:pos:R:3 pbc="T T T"
C 0.000 0.000 0.000
As -1.291 -1.437 1.092
As -1.053 1.690 0.980
Bi -0.739 0.196 3.893
Se 1.604 -0.056 1.822
```

Properties
Total magnetization ... 0.000 μB per atom
Space group ... No. 123


Most favorable structure: Q. The second most favorable one is 1344 meV per atom above it.


P:
Material: CaBi2As2
Method: DFT, PBE
State: optimized geometry

```
5
Lattice="4.456 0.000 1.038 2.107 3.926 1.038 0.343 0.205 8.609" Properties=species:S:1:pos:R:3 pbc="T T T"
Ca 0.000 0.000 0.000
Bi 1.538 0.920 3.479
Bi 5.368 3.211 7.207
As 3.994 2.389 3.022
As 2.912 1.742 7.664
```

Properties
Total magnetization ... 0.000 μB per atom
Space group ... No. 166


Q:
Material: CaBi2As2
Method: DFT, PBE
State: optimized geometry

```
10
Lattice="8.163 0.000 0.000 0.000 8.163 0.000 0.000 0.000 4.185" Properties=species:S:1:pos:R:3 pbc="T T T"
As 2.688 6.770 0.000
As 6.770 5.475 0.000
As 5.475 1.393 0.000
As 1.393 2.688 0.000
Ca 0.000 0.000 0.000
Ca 4.082 4.082 0.000
Bi 1.292 5.374 2.093
Bi 5.374 6.871 2.093
Bi 6.871 2.790 2.093
Bi 2.790 1.292 2.093
```

Properties
Total magnetization ... 0.000 μB per atom
Space group ... No. 127


R:
Material: CaBi2As2
Method: DFT, PBE
State: optimized geometry

```
5
Lattice="-1.663 -2.670 2.119 3.370 -1.644 0.573 2.194 3.394 9.394" Properties=species:S:1:pos:R:3 pbc="T T T"
As 0.692 -0.717 6.430
As 3.208 -0.204 5.657
Ca 0.000 0.000 0.000
Bi 1.150 -0.930 3.126
Bi 2.751 0.009 8.961
```

Properties
Total magnetization ... 0.000 μB per atom
Space group ... No. 139


S:
Material: CaBi2As2
Method: DFT, PBE
State: optimized geometry

```
5
Lattice="-3.253 -1.248 2.812 1.194 -4.284 -0.520 3.609 -2.157 6.783" Properties=species:S:1:pos:R:3 pbc="T T T"
As -0.248 -2.664 2.095
As 1.798 -5.026 6.979
Ca 0.000 0.000 0.000
Bi -0.337 -3.086 5.370
Bi 1.887 -4.604 3.704
```

Properties
Total magnetization ... 0.000 μB per atom
Space group ... No. 139


Most favorable structure: P. The second most favorable one is 26 meV per atom above it.


P:
Material: Ca2InBiAs
Method: DFT, PBE
State: optimized geometry

```
10
Lattice="4.529 0.000 0.000 0.000 8.480 -0.619 0.000 -4.220 7.877" Properties=species:S:1:pos:R:3 pbc="T T T"
Ca 3.397 3.691 3.893
Ca 3.397 7.041 -0.046
Ca 1.132 0.569 3.365
Ca 1.132 -2.781 7.304
In 1.132 0.333 6.667
In 3.397 3.927 0.591
Bi 1.132 5.663 2.265
Bi 3.397 -1.403 4.993
As 1.132 2.863 5.676
As 3.397 1.397 1.582
```

Properties
Total magnetization ... 0.000 μB per atom
Space group ... No. 11


Q:
Material: Ca2InBiAs
Method: DFT, PBE
State: optimized geometry

```
5
Lattice="-5.614 -1.578 -1.194 1.489 -5.304 0.012 -1.153 -0.311 5.831" Properties=species:S:1:pos:R:3 pbc="T T T"
As 0.744 -2.652 0.006
Ca -0.576 -0.155 2.916
Ca -2.807 -0.789 -0.597
Bi 0.000 0.000 0.000
In -2.639 -3.597 2.325
```

Properties
Total magnetization ... 0.000 μB per atom
Space group ... No. 123


Most favorable structure: P. The second most favorable one is 862 meV per atom above it.


P:
Material: CaBiAs2Se
Method: DFT, PBE
State: optimized geometry

```
5
Lattice="5.374 0.000 0.000 0.000 5.374 0.000 0.000 0.000 5.285" Properties=species:S:1:pos:R:3 pbc="T T T"
As 0.000 2.687 0.000
As 2.687 0.000 0.000
Ca 0.000 0.000 0.000
Bi 2.687 2.687 2.642
Se 0.000 0.000 2.642
```

Properties
Total magnetization ... 0.000 μB per atom
Space group ... No. 123


Q:
Material: CaBiAs2Se
Method: DFT, PBE
State: optimized geometry

```
5
Lattice="5.399 0.000 0.000 0.000 5.399 0.000 0.000 0.000 5.595" Properties=species:S:1:pos:R:3 pbc="T T T"
As 0.000 2.699 0.000
As 2.699 0.000 0.000
Ca 2.699 2.699 2.797
Bi 0.000 0.000 0.000
Se 0.000 0.000 2.797
```

Properties
Total magnetization ... 0.000 μB per atom
Space group ... No. 123


Most favorable structure: Q. The second most favorable one is 283 meV per atom above it.


P:
Material: Cd3BiAs
Method: DFT, PBE
State: optimized geometry

```
20
Lattice="-4.935 -3.001 -4.291 4.450 -7.811 0.346 -6.022 0.313 6.702" Properties=species:S:1:pos:R:3 pbc="T T T"
Cd -2.609 -4.754 6.007
Cd -3.898 -5.745 -3.251
Cd 0.537 -8.307 -1.157
Cd -7.044 -2.193 3.913
Cd -5.628 -5.066 2.907
Cd -0.879 -5.434 -0.151
Cd -1.511 -0.560 1.059
Cd -4.997 -9.940 1.697
Cd -3.454 -1.659 3.965
Cd -3.053 -8.841 -1.209
Cd -3.766 -4.014 -0.061
Cd -2.742 -6.485 2.817
Bi -4.753 -6.976 0.637
Bi -1.754 -3.524 2.119
Bi -0.063 -7.757 1.826
Bi -6.445 -2.742 0.930
As -4.965 -3.575 5.168
As -1.543 -6.925 -2.412
As -3.782 -3.031 -2.598
As -2.726 -7.469 5.354
```

Properties
Total magnetization ... 0.000 μB per atom
Space group ... No. 14


Q:
Material: Cd3BiAs
Method: DFT, PBE
State: optimized geometry

```
5
Lattice="5.737 0.000 0.000 0.000 5.737 0.000 0.000 0.000 5.737" Properties=species:S:1:pos:R:3 pbc="T T T"
As 2.868 2.868 2.868
Bi 0.000 0.000 0.000
Cd 0.000 2.868 0.000
Cd 0.000 0.000 2.868
Cd 2.868 0.000 0.000
```

Properties
Total magnetization ... 0.299 μB per atom
Space group ... No. 221


Most favorable structure: P. The second most favorable one is 672 meV per atom above it.


P:
Material: Cd3BiAs
Method: DFT, PBE
State: optimized geometry

```
10
Lattice="4.835 0.000 0.000 0.000 6.429 -3.201 0.000 -0.772 10.656" Properties=species:S:1:pos:R:3 pbc="T T T"
Cd 3.626 0.788 3.690
Cd 3.626 3.552 7.221
Cd 1.209 5.551 -1.481
Cd 1.209 1.886 5.250
Cd 1.209 5.059 3.729
Cd 3.626 4.045 2.011
Bi 3.626 0.431 6.744
Bi 1.209 2.243 2.196
As 1.209 4.387 6.345
As 3.626 4.717 -0.606
```

Properties
Total magnetization ... 0.000 μB per atom
Space group ... No. 11


Q:
Material: Cd3BiAs
Method: DFT, PBE
State: optimized geometry

```
5
Lattice="-3.967 -3.326 -1.020 0.415 -1.989 4.870 -3.454 3.581 1.757" Properties=species:S:1:pos:R:3 pbc="T T T"
As 0.000 0.000 0.000
Bi -3.503 -0.867 2.803
Cd 0.207 -0.994 2.435
Cd -1.727 1.791 0.878
Cd -1.984 -1.663 -0.510
```

Properties
Total magnetization ... 0.086 μB per atom
Space group ... No. 221


Most favorable structure: P. The second most favorable one is 274 meV per atom above it.